Record 1
The following is a DFT calculation (PBE) of a relaxed CdIn2 crystal.

Values from the calculation:
The value obtained for the formation energy is 0.84 kcal/mol of atoms. Its total energy is -2.09 eV per atom. As for the space group: No. 141. Its density of states at the Fermi level is 2.40 states/eV/cell. The value obtained for the magnetization is 0.00 μB per formula unit.

Cell: 14.544 14.544 14.544 Å, 166.94 166.94 18.51°
Sites, in units of the cell vectors:
1 In 0.827 0.327 0.500
2 In 0.577 0.577 0.000
3 In 0.423 0.423 0.000
4 In 0.673 0.173 0.500
5 Cd 0.250 0.750 0.500
6 Cd 0.000 0.000 0.000

Record 2
The following is a DFT calculation (PBE) of a relaxed Cd3In crystal.

Values from the calculation:
The value obtained for the formation energy is 0.97 kcal/mol of atoms. Its total energy is -1.33 eV per atom. As for the space group: No. 25. Its density of states at the Fermi level is 1.53 states/eV/cell. The value obtained for the magnetization is 0.00 μB per formula unit.

Cell: 5.108 3.717 5.135 Å, 90.00 90.00 90.00°
Sites, in units of the cell vectors:
1 In 0.500 0.000 0.656
2 Cd 0.500 0.500 0.155
3 Cd 0.000 0.000 0.015
4 Cd 0.000 0.500 0.507

Record 3
The following is a DFT calculation (PBE) of a relaxed CdIn3 crystal.

Values from the calculation:
The value obtained for the formation energy is 0.86 kcal/mol of atoms. Its total energy is -2.25 eV per atom. As for the space group: No. 59. Its density of states at the Fermi level is 2.87 states/eV/cell. The value obtained for the magnetization is 0.00 μB per formula unit.

Cell: 5.645 5.737 6.524 Å, 90.00 90.00 90.00°
Sites, in units of the cell vectors:
1 In 0.500 0.156 0.251
2 In 0.000 0.844 0.249
3 In 0.000 0.351 0.500
4 In 0.000 0.844 0.751
5 In 0.500 0.156 0.749
6 In 0.500 0.649 0.000
7 Cd 0.500 0.660 0.500
8 Cd 0.000 0.340 0.000

Record 4
The following is a DFT calculation (PBE) of a relaxed Cd4In crystal.

Values from the calculation:
The value obtained for the formation energy is 7.17 kcal/mol of atoms. Its total energy is -0.97 eV per atom. As for the space group: No. 221. Its density of states at the Fermi level is 2.14 states/eV/cell. The distance to the lowest polymorph of the same formula comes out at 0.2810 eV per atom. The value obtained for the magnetization is 0.00 μB per formula unit.

Cell: 5.614 5.614 5.614 Å, 90.00 90.00 90.00°
Sites, in units of the cell vectors:
1 Cd 0.000 0.500 0.500
2 Cd 0.500 0.000 0.500
3 Cd 0.000 0.000 0.000
4 Cd 0.500 0.500 0.000
5 In 0.500 0.500 0.500

Record 5
The following is a DFT calculation (PBE) of a relaxed CdIn2 crystal.

Values from the calculation:
The value obtained for the formation energy is 0.53 kcal/mol of atoms. Its total energy is -2.11 eV per atom. As for the space group: No. 63. Its density of states at the Fermi level is 2.38 states/eV/cell. The value obtained for the magnetization is 0.00 μB per formula unit.

Cell: 9.111 9.111 5.178 Å, 90.00 90.00 158.68°
Sites, in units of the cell vectors:
1 In 0.109 0.891 0.500
2 In 0.334 0.666 0.000
3 In 0.002 0.998 0.000
4 In 0.777 0.223 0.500
5 Cd 0.667 0.333 0.000
6 Cd 0.444 0.556 0.500

Record 6
The following is a DFT calculation (PBE) of a relaxed Cd11In4 crystal.

Values from the calculation:
The value obtained for the formation energy is 1.02 kcal/mol of atoms. Its total energy is -1.36 eV per atom. As for the space group: No. 136. Its density of states at the Fermi level is 11.32 states/eV/cell. The value obtained for the magnetization is 0.00 μB per formula unit.

Cell: 5.684 11.314 11.314 Å, 90.00 90.00 90.00°
Sites, in units of the cell vectors:
1 Cd 0.500 0.569 0.239
2 Cd 0.500 0.431 0.761
3 Cd 0.749 0.180 0.820
4 Cd 0.500 0.095 0.095
5 Cd 0.251 0.180 0.820
6 Cd 0.000 0.595 0.405
7 Cd 0.500 0.239 0.569
8 Cd 0.249 0.680 0.680
9 Cd 0.500 0.500 0.500
10 Cd 0.751 0.320 0.320
11 Cd 0.500 0.905 0.905
12 Cd 0.000 0.405 0.595
13 Cd 0.000 0.000 0.000
14 Cd 0.000 0.069 0.261
15 Cd 0.251 0.820 0.180
16 Cd 0.751 0.680 0.680
17 Cd 0.749 0.820 0.180
18 Cd 0.000 0.739 0.931
19 Cd 0.500 0.761 0.431
20 Cd 0.000 0.261 0.069
21 Cd 0.249 0.320 0.320
22 Cd 0.000 0.931 0.739
23 In 0.000 0.541 0.133
24 In 0.500 0.041 0.367
25 In 0.000 0.867 0.459
26 In 0.500 0.633 0.959
27 In 0.500 0.367 0.041
28 In 0.000 0.133 0.541
29 In 0.000 0.459 0.867
30 In 0.500 0.959 0.633

Copy entry 5 word for word.
The following is a DFT calculation (PBE) of a relaxed CdIn2 crystal.

Values from the calculation:
The value obtained for the formation energy is 0.53 kcal/mol of atoms. Its total energy is -2.11 eV per atom. As for the space group: No. 63. Its density of states at the Fermi level is 2.38 states/eV/cell. The value obtained for the magnetization is 0.00 μB per formula unit.

Cell: 9.111 9.111 5.178 Å, 90.00 90.00 158.68°
Sites, in units of the cell vectors:
1 In 0.109 0.891 0.500
2 In 0.334 0.666 0.000
3 In 0.002 0.998 0.000
4 In 0.777 0.223 0.500
5 Cd 0.667 0.333 0.000
6 Cd 0.444 0.556 0.500